# 1
GGA-PBE YFeCo, relaxed; SG = F-43m, No. 216; formation energy = 0.296 eV per atom; total DFT energy (no corrections) = -0.51803 Ry per atom; total magnetic moment = 3.44 μB per cell
1.0
4.3159 0.0000 0.0000
2.1580 3.7377 0.0000
2.1580 1.2459 3.5239
Y Fe Co
1 1 1
direct
0.5000 0.5000 0.5000 Y
0.0000 0.0000 0.0000 Fe
0.2500 0.2500 0.2500 Co

***

# 2
GGA-PBE YFe3Co2, relaxed; SG = P6/mmm, No. 191; formation energy = -0.099 eV per atom; total DFT energy (no corrections) = -0.57154 Ry per atom; total magnetic moment = 10.03 μB per cell
1.0
3.9637 0.0000 0.0000
0.0000 4.3524 -2.5060
0.0000 -0.0058 5.0222
Co Fe Y
2 3 1
direct
0.0000 0.3345 0.6666 Co
0.0000 0.6680 0.3334 Co
0.5000 0.5013 0.0000 Fe
0.5000 0.5013 0.5000 Fe
0.5000 0.0012 0.5000 Fe
0.0000 0.0012 0.0000 Y

***

# 3
GGA-PBE Y2ZnFe2Co5, relaxed; SG = P4/mbm, No. 127; formation energy = 0.027 eV per atom; total DFT energy (no corrections) = -0.48793 Ry per atom; total magnetic moment = 20.62 μB per cell
1.0
-1.3729 1.4010 -3.1252
3.9948 -6.4873 -4.6632
-7.2653 -5.1186 0.8970
Zn Co Fe Y
2 10 4 4
direct
0.0000 0.0000 0.0000 Zn
0.0000 0.5000 0.5000 Zn
0.5000 0.9431 0.2083 Co
0.5000 0.0000 0.5000 Co
0.5000 0.5000 0.0000 Co
0.5000 0.5569 0.7083 Co
0.5000 0.2083 0.0569 Co
0.5000 0.0569 0.7917 Co
0.5000 0.4431 0.2917 Co
0.5000 0.2917 0.5569 Co
0.5000 0.7083 0.4431 Co
0.5000 0.7917 0.9431 Co
0.0000 0.3877 0.1123 Fe
0.0000 0.1123 0.6123 Fe
0.0000 0.8877 0.3877 Fe
0.0000 0.6123 0.8877 Fe
0.0000 0.3154 0.8154 Y
0.0000 0.1846 0.3154 Y
0.0000 0.6846 0.1846 Y
0.0000 0.8154 0.6846 Y

***

Q: Look up the formation energy of the first one.
A: 0.296 eV per atom

***

Q: What is the formula in the second record?
A: YFe3Co2

***

Q: The highest total magnetic moment belongs to which entry?
A: Y2ZnFe2Co5

***

What did the second record say?
GGA-PBE YFe3Co2, relaxed; SG = P6/mmm, No. 191; formation energy = -0.099 eV per atom; total DFT energy (no corrections) = -0.57154 Ry per atom; total magnetic moment = 10.03 μB per cell
1.0
3.9637 0.0000 0.0000
0.0000 4.3524 -2.5060
0.0000 -0.0058 5.0222
Co Fe Y
2 3 1
direct
0.0000 0.3345 0.6666 Co
0.0000 0.6680 0.3334 Co
0.5000 0.5013 0.0000 Fe
0.5000 0.5013 0.5000 Fe
0.5000 0.0012 0.5000 Fe
0.0000 0.0012 0.0000 Y